Cr2ReMoH | PBE-GGA | relaxed

Its density of states at the Fermi level is 0.938 states/eV per atom. For the offset from the most stable computed form, the calculation gives 25 meV/atom. Its crystal system is tetragonal.

The structure belongs to space group P4/mmm (No. 123); the cell edges are 3.829, 3.829 and 3.886 Å and the angles 90.00°, 90.00° and 90.00°. The distinct sites, in fractional coordinates, are Cr at (0.000, 0.500, 0.000), Re at (0.000, 0.000, 0.500), Mo at (0.500, 0.500, 0.500) and H at (0.000, 0.000, 0.000).

Cr2MoHRh | PBE-GGA | relaxed

Its density of states at the Fermi level is 1.108 states/eV per atom. For the offset from the most stable computed form, the calculation gives 9 meV/atom. Its crystal system is tetragonal.

The structure belongs to space group P4/mmm (No. 123); the cell edges are 3.836, 3.836 and 3.780 Å and the angles 90.00°, 90.00° and 90.00°. The distinct sites, in fractional coordinates, are Cr at (0.000, 0.500, 0.000), Mo at (0.000, 0.000, 0.500), H at (0.500, 0.500, 0.000) and Rh at (0.500, 0.500, 0.500).

Cr2MoHRh | PBE-GGA | relaxed

Its density of states at the Fermi level is 1.149 states/eV per atom. For the offset from the most stable computed form, the calculation gives 0 meV/atom. Its crystal system is tetragonal.

The structure belongs to space group P4/mmm (No. 123); the cell edges are 3.797, 3.797 and 3.864 Å and the angles 90.00°, 90.00° and 90.00°. The distinct sites, in fractional coordinates, are Cr at (0.000, 0.500, 0.000), Mo at (0.000, 0.000, 0.500), H at (0.000, 0.000, 0.000) and Rh at (0.500, 0.500, 0.500).

What is the formula in the third record? Cr2MoHRh

Copy entry 1 word for word.
Cr2ReMoH | PBE-GGA | relaxed

Its density of states at the Fermi level is 0.938 states/eV per atom. For the offset from the most stable computed form, the calculation gives 25 meV/atom. Its crystal system is tetragonal.

The structure belongs to space group P4/mmm (No. 123); the cell edges are 3.829, 3.829 and 3.886 Å and the angles 90.00°, 90.00° and 90.00°. The distinct sites, in fractional coordinates, are Cr at (0.000, 0.500, 0.000), Re at (0.000, 0.000, 0.500), Mo at (0.500, 0.500, 0.500) and H at (0.000, 0.000, 0.000).

offset from the most stable computed form of number 3 (Cr2MoHRh)? 0 meV/atom